[1]
The following is a DFT calculation (PBE) of NaMgCr2Fe after structural relaxation.

Computed properties:
Space-group type: P4/mmm
Electronic total energy (eV/atom): -5.149
N(E_F) (states/eV/cell): 3.8

Unit cell a=4.421 b=4.421 c=5.103 alpha=90.00 beta=90.00 gamma=90.00
Element x y z (fractional)
Na: 0.000 0.000 0.000
Mg: 0.500 0.500 0.000
Cr: 0.000 0.500 0.500
Cr: 0.500 0.000 0.500
Fe: 0.000 0.000 0.500

=====

[2]
The following is a DFT calculation (PBE) of SmY2Ga after structural relaxation.

Computed properties:
Space-group type: R-3m
Excess energy over the best structure of this formula in the dataset (meV/atom): 445.2
Electronic total energy (eV/atom): -5.018
N(E_F) (states/eV/cell): 4.6

Unit cell a=11.905 b=11.905 c=11.905 alpha=17.04 beta=17.04 gamma=17.04
Element x y z (fractional)
Sm: 0.000 0.000 0.000
Y: 0.415 0.415 0.415
Y: 0.585 0.585 0.585
Ga: 0.500 0.500 0.500

=====

[3]
The following is a DFT calculation (PBE) of U3O7 after structural relaxation.

Computed properties:
Space-group type: Immm
Electronic total energy (eV/atom): -9.919
Uncorrected formation energy (eV/atom): -3.0620
N(E_F) (states/eV/cell): 14.1

Unit cell a=6.547 b=6.547 c=6.547 alpha=146.47 beta=129.88 gamma=61.65
Element x y z (fractional)
U: 0.000 0.000 0.000
U: 0.346 0.346 0.000
U: 0.654 0.654 0.000
O: 0.055 0.824 0.231
O: 0.216 0.500 0.716
O: 0.408 0.176 0.231
O: 0.500 0.000 0.500
O: 0.592 0.824 0.769
O: 0.784 0.500 0.284
O: 0.945 0.176 0.769

=====

[4]
The following is a DFT calculation (PBE) of ScGaFe after structural relaxation.

Computed properties:
Space-group type: Imma
Electronic total energy (eV/atom): -6.375
N(E_F) (states/eV/cell): 5.0

Unit cell a=5.072 b=5.072 c=5.072 alpha=119.84 beta=118.04 gamma=91.85
Element x y z (fractional)
Sc: 0.364 0.114 0.250
Sc: 0.636 0.886 0.750
Ga: 0.000 0.500 0.500
Ga: 0.500 0.500 0.000
Fe: 0.000 0.000 0.500
Fe: 0.000 0.500 0.000

=====

[5]
The following is a DFT calculation (PBE) of TlRhW2 after structural relaxation.

Computed properties:
Space-group type: Cmmm
Excess energy over the best structure of this formula in the dataset (meV/atom): 301.3
Electronic total energy (eV/atom): -8.249
N(E_F) (states/eV/cell): 2.9

Unit cell a=5.206 b=5.206 c=2.830 alpha=90.00 beta=90.00 gamma=117.66
Element x y z (fractional)
Tl: 0.000 0.000 0.000
Rh: 0.500 0.500 0.000
W: 0.000 0.500 0.500
W: 0.500 0.000 0.500

=====

[6]
The following is a DFT calculation (PBE) of Na2YRe2 after structural relaxation.

Computed properties:
Space-group type: P4/mbm
Excess energy over the best structure of this formula in the dataset (meV/atom): 170.9
Electronic total energy (eV/atom): -5.767
N(E_F) (states/eV/cell): 4.5

Unit cell a=8.593 b=8.593 c=2.869 alpha=90.00 beta=90.00 gamma=90.00
Element x y z (fractional)
Na: 0.193 0.307 0.000
Na: 0.307 0.807 0.000
Na: 0.693 0.193 0.000
Na: 0.807 0.693 0.000
Y: 0.000 0.000 0.500
Y: 0.500 0.500 0.500
Re: 0.095 0.595 0.500
Re: 0.405 0.095 0.500
Re: 0.595 0.905 0.500
Re: 0.905 0.405 0.500

=====

[7]
The following is a DFT calculation (PBE) of NaGeIBr2 after structural relaxation.

Computed properties:
Space-group type: P2_1/m
Electronic total energy (eV/atom): -2.950
Uncorrected formation energy (eV/atom): -0.7833
N(E_F) (states/eV/cell): 0.0

Unit cell a=7.259 b=5.717 c=9.323 alpha=90.00 beta=107.61 gamma=90.00
Element x y z (fractional)
Na: 0.145 0.250 0.411
Na: 0.855 0.750 0.589
Ge: 0.187 0.250 0.956
Ge: 0.813 0.750 0.044
I: 0.467 0.250 0.239
I: 0.533 0.750 0.761
Br: 0.057 0.750 0.364
Br: 0.115 0.750 0.943
Br: 0.885 0.250 0.057
Br: 0.943 0.250 0.636

=====

[8]
The following is a DFT calculation (PBE) of LaIn after structural relaxation.

Computed properties:
Space-group type: P4_2/mnm
Electronic total energy (eV/atom): -4.086
N(E_F) (states/eV/cell): 9.5

Unit cell a=6.339 b=6.339 c=6.648 alpha=90.00 beta=90.00 gamma=90.00
Element x y z (fractional)
La: 0.177 0.177 0.000
La: 0.323 0.677 0.500
La: 0.677 0.323 0.500
La: 0.823 0.823 0.000
In: 0.170 0.170 0.500
In: 0.330 0.670 0.000
In: 0.670 0.330 0.000
In: 0.830 0.830 0.500

=====

[9]
The following is a DFT calculation (PBE) of TmPaTe2 after structural relaxation.

Computed properties:
Space-group type: Fm-3m
Excess energy over the best structure of this formula in the dataset (meV/atom): 82.1
Electronic total energy (eV/atom): -5.862
Uncorrected formation energy (eV/atom): -0.7997
N(E_F) (states/eV/cell): 6.5

Unit cell a=5.282 b=5.282 c=5.282 alpha=60.00 beta=60.00 gamma=60.00
Element x y z (fractional)
Tm: 0.000 0.000 0.000
Pa: 0.500 0.500 0.500
Te: 0.250 0.250 0.250
Te: 0.750 0.750 0.750

=====

[10]
The following is a DFT calculation (PBE) of TbCdNi after structural relaxation.

Computed properties:
Space-group type: Pmma
Electronic total energy (eV/atom): -4.149
N(E_F) (states/eV/cell): 15.0

Unit cell a=12.703 b=3.873 c=7.495 alpha=90.00 beta=90.00 gamma=90.00
Element x y z (fractional)
Tb: 0.046 0.000 0.228
Tb: 0.250 0.000 0.846
Tb: 0.454 0.000 0.228
Tb: 0.546 0.000 0.772
Tb: 0.750 0.000 0.154
Tb: 0.954 0.000 0.772
Cd: 0.120 0.500 0.568
Cd: 0.250 0.500 0.193
Cd: 0.380 0.500 0.568
Cd: 0.620 0.500 0.432
Cd: 0.750 0.500 0.807
Cd: 0.880 0.500 0.432
Ni: 0.089 0.500 0.942
Ni: 0.250 0.000 0.441
Ni: 0.411 0.500 0.942
Ni: 0.589 0.500 0.058
Ni: 0.750 0.000 0.559
Ni: 0.911 0.500 0.058

=====

[11]
The following is a DFT calculation (PBE) of Sm2P4Ir5 after structural relaxation.

Computed properties:
Space-group type: Fmmm
Electronic total energy (eV/atom): -7.593
N(E_F) (states/eV/cell): 3.9

Unit cell a=8.634 b=7.611 c=5.616 alpha=79.95 beta=60.23 gamma=39.82
Element x y z (fractional)
Sm: 0.134 0.134 0.866
Sm: 0.866 0.866 0.134
P: 0.212 0.532 0.468
P: 0.468 0.788 0.212
P: 0.532 0.212 0.788
P: 0.788 0.468 0.532
Ir: 0.000 0.000 0.500
Ir: 0.250 0.250 0.250
Ir: 0.500 0.500 0.000
Ir: 0.500 0.500 0.500
Ir: 0.750 0.750 0.750

=====

[12]
The following is a DFT calculation (PBE) of PmSm2Dy7 after structural relaxation.

Computed properties:
Space-group type: Cmmm
Excess energy over the best structure of this formula in the dataset (meV/atom): 516.7
Electronic total energy (eV/atom): -3.954
N(E_F) (states/eV/cell): 13.6

Unit cell a=9.823 b=9.823 c=5.089 alpha=90.00 beta=90.00 gamma=128.06
Element x y z (fractional)
Pm: 0.000 0.000 0.000
Sm: 0.299 0.701 0.500
Sm: 0.701 0.299 0.500
Dy: 0.074 0.289 0.500
Dy: 0.195 0.805 0.000
Dy: 0.289 0.074 0.500
Dy: 0.500 0.500 0.500
Dy: 0.711 0.926 0.500
Dy: 0.805 0.195 0.000
Dy: 0.926 0.711 0.500